Material: Li3MnP2HO8
Method: DFT, GGA+U
State: optimized geometry

## Properties
DFT total energy	-6.615	eV per atom
total magnetic moment	10.00	Bohr magnetons per cell

abc: 5.0259 8.4865 7.6366
angles: 90.00 104.04 90.00
Last column: nearest neighbours and their distance in Å.
Space group P2_1 (No. 4)
Asymmetric unit:
Li1 0.0669 0.0000 0.3065 x2  4 O 1.98-2.08, 1 H 2.12
Li2 0.1377 0.1557 0.6232 x2  5 O 2.02-2.20
Li3 0.3936 0.4809 0.9695 x2  4 O 1.96-2.07
Mn1 0.2369 0.8091 0.7372 x2  6 O 2.15-2.28
P1 0.1227 0.1804 0.9700 x2  4 O 1.54-1.56
P2 0.3767 0.4466 0.5386 x2  4 O 1.53-1.61
H1 0.3146 0.8258 0.2260 x2  1 O 1.07
O1 0.0344 0.7815 0.1938 x2  1 H 1.42, 1 P 1.56
O2 0.0754 0.6311 0.9105 x2  1 P 1.56
O3 0.1806 0.3193 0.4403 x2  1 P 1.53
O4 0.2122 0.5956 0.5608 x2  1 P 1.54
O5 0.2334 0.0344 0.8859 x2  1 P 1.56
O6 0.3640 0.2767 0.0838 x2  1 P 1.54
O7 0.3719 0.9747 0.5400 x2  1 P 1.54
O8 0.4964 0.3889 0.7436 x2  1 H 1.07